[1]
A relaxed Sc5TcAg4 crystal. Source: Alexandria via LeMat-Bulk, functional PBE.

Computed properties:
The crystal system is tetragonal. For the total energy, the calculation gives -56.2 eV per formula unit. As for the magnetic moment: 0.0 μB per cell. Its symmetry is P4/mmm (123).

a b c (Å): 3.357 3.357 17.351
angles (deg): 90.00 90.00 90.00
Atoms (fractional coordinates):
Sc 0.000 0.000 0.000
Sc 0.000 0.000 0.204
Sc 0.000 0.000 0.414
Sc 0.000 0.000 0.586
Sc 0.000 0.000 0.796
Tc 0.500 0.500 0.500
Ag 0.500 0.500 0.102
Ag 0.500 0.500 0.307
Ag 0.500 0.500 0.693
Ag 0.500 0.500 0.898

[2]
A relaxed Sc3Tc2Ag crystal. Source: Alexandria via LeMat-Bulk, functional PBE.

Computed properties:
The crystal system is tetragonal. For the total energy, the calculation gives -43.9 eV per formula unit. As for the magnetic moment: 0.0 μB per cell. Its symmetry is P4/mmm (123).

a b c (Å): 3.314 3.314 9.886
angles (deg): 90.00 90.00 90.00
Atoms (fractional coordinates):
Sc 0.000 0.000 0.000
Sc 0.000 0.000 0.311
Sc 0.000 0.000 0.689
Tc 0.500 0.500 0.164
Tc 0.500 0.500 0.836
Ag 0.500 0.500 0.500

[3]
A relaxed Sc2TcAg crystal. Source: Alexandria via LeMat-Bulk, functional PBE.

Computed properties:
The crystal system is tetragonal. For the total energy, the calculation gives -26.7 eV per formula unit. The value obtained for the energy above the most stable polymorph in this dataset is 110 meV per atom. As for the magnetic moment: 0.0 μB per cell. Its symmetry is P4/mmm (123).

a b c (Å): 4.658 4.658 3.369
angles (deg): 90.00 90.00 90.00
Atoms (fractional coordinates):
Sc 0.000 0.500 0.000
Sc 0.500 0.000 0.000
Tc 0.000 0.000 0.500
Ag 0.500 0.500 0.500

[4]
A relaxed Sc2TcAg crystal. Source: Alexandria via LeMat-Bulk, functional PBE.

Computed properties:
The crystal system is trigonal. For the total energy, the calculation gives -26.1 eV per formula unit. The value obtained for the energy above the most stable polymorph in this dataset is 248 meV per atom. As for the magnetic moment: 0.0 μB per cell. Its symmetry is R-3m (166).

a b c (Å): 8.944 8.944 8.944
angles (deg): 20.61 20.61 20.61
Atoms (fractional coordinates):
Sc 0.241 0.241 0.241
Sc 0.759 0.759 0.759
Tc 0.500 0.500 0.500
Ag 0.000 0.000 0.000

[5]
A relaxed Sc2Tc2Ag crystal. Source: Alexandria via LeMat-Bulk, functional PBE.

Computed properties:
The crystal system is tetragonal. For the total energy, the calculation gives -36.0 eV per formula unit. As for the magnetic moment: 0.0 μB per cell. Its symmetry is P4/mbm (127).

a b c (Å): 7.481 7.481 3.361
angles (deg): 90.00 90.00 90.00
Atoms (fractional coordinates):
Sc 0.185 0.315 0.000
Sc 0.315 0.815 0.000
Sc 0.685 0.185 0.000
Sc 0.815 0.685 0.000
Tc 0.107 0.607 0.500
Tc 0.393 0.107 0.500
Tc 0.607 0.893 0.500
Tc 0.893 0.393 0.500
Ag 0.000 0.000 0.500
Ag 0.500 0.500 0.500

[6]
A relaxed ScTcAg crystal. Source: Alexandria via LeMat-Bulk, functional PBE.

Computed properties:
The crystal system is orthorhombic. For the total energy, the calculation gives -19.1 eV per formula unit. The value obtained for the energy above the most stable polymorph in this dataset is 0 meV per atom. As for the magnetic moment: 0.0 μB per cell. Its symmetry is Fmm2 (42).

a b c (Å): 7.064 6.918 2.857
angles (deg): 81.10 75.34 23.55
Atoms (fractional coordinates):
Sc 0.000 0.000 0.000
Tc 0.651 0.651 0.349
Ag 0.320 0.320 0.680

[7]
A relaxed ScTc2Ag crystal. Source: Alexandria via LeMat-Bulk, functional PBE.

Computed properties:
The crystal system is tetragonal. For the total energy, the calculation gives -26.9 eV per formula unit. The value obtained for the energy above the most stable polymorph in this dataset is 784 meV per atom. As for the magnetic moment: 2.5 μB per cell. Its symmetry is I-42d (122).

a b c (Å): 5.894 5.894 5.894
angles (deg): 101.19 101.19 127.74
Atoms (fractional coordinates):
Sc 0.000 0.000 0.000
Sc 0.750 0.250 0.500
Tc 0.137 0.125 0.512
Tc 0.375 0.863 0.988
Tc 0.613 0.625 0.488
Tc 0.875 0.387 0.012
Ag 0.250 0.750 0.500
Ag 0.500 0.500 0.000

[8]
A relaxed ScTc4Ag crystal. Source: Alexandria via LeMat-Bulk, functional PBE.

Computed properties:
The crystal system is cubic. For the total energy, the calculation gives -49.8 eV per formula unit. As for the magnetic moment: 0.0 μB per cell. Its symmetry is F-43m (216).

a b c (Å): 5.209 5.209 5.209
angles (deg): 60.00 60.00 60.00
Atoms (fractional coordinates):
Sc 0.000 0.000 0.000
Tc 0.126 0.625 0.625
Tc 0.625 0.126 0.625
Tc 0.625 0.625 0.126
Tc 0.625 0.625 0.625
Ag 0.250 0.250 0.250

[9]
A relaxed ScTc2Ag crystal. Source: Alexandria via LeMat-Bulk, functional PBE.

Computed properties:
The crystal system is monoclinic. For the total energy, the calculation gives -29.6 eV per formula unit. The value obtained for the energy above the most stable polymorph in this dataset is 117 meV per atom. As for the magnetic moment: 0.0 μB per cell. Its symmetry is Pm (6).

a b c (Å): 2.922 4.062 5.790
angles (deg): 90.00 97.56 90.00
Atoms (fractional coordinates):
Sc 0.000 0.000 0.000
Tc 0.480 0.500 0.268
Tc 0.881 0.000 0.442
Ag 0.438 0.500 0.741

[10]
A relaxed Sc2TcAg crystal. Source: Alexandria via LeMat-Bulk, functional PBE.

Computed properties:
The crystal system is tetragonal. For the total energy, the calculation gives -23.9 eV per formula unit. The value obtained for the energy above the most stable polymorph in this dataset is 806 meV per atom. As for the magnetic moment: 1.1 μB per cell. Its symmetry is I-42d (122).

a b c (Å): 9.564 9.564 9.564
angles (deg): 154.49 154.49 36.38
Atoms (fractional coordinates):
Sc 0.109 0.625 0.984
Sc 0.375 0.359 0.484
Sc 0.641 0.125 0.016
Sc 0.875 0.891 0.516
Tc 0.000 0.000 0.000
Tc 0.750 0.250 0.500
Ag 0.250 0.750 0.500
Ag 0.500 0.500 0.000

[11]
A relaxed ScTc2Ag crystal. Source: Alexandria via LeMat-Bulk, functional PBE.

Computed properties:
The crystal system is trigonal. For the total energy, the calculation gives -28.2 eV per formula unit. The value obtained for the energy above the most stable polymorph in this dataset is 447 meV per atom. As for the magnetic moment: 0.0 μB per cell. Its symmetry is R-3m (166).

a b c (Å): 9.666 9.666 9.666
angles (deg): 16.97 16.97 16.97
Atoms (fractional coordinates):
Sc 0.000 0.000 0.000
Tc 0.251 0.251 0.251
Tc 0.749 0.749 0.749
Ag 0.500 0.500 0.500

[12]
A relaxed ScTc2Ag crystal. Source: Alexandria via LeMat-Bulk, functional PBE.

Computed properties:
The crystal system is trigonal. For the total energy, the calculation gives -29.2 eV per formula unit. The value obtained for the energy above the most stable polymorph in this dataset is 205 meV per atom. As for the magnetic moment: 0.0 μB per cell. Its symmetry is R3m (160).

a b c (Å): 9.538 9.538 9.538
angles (deg): 17.34 17.34 17.34
Atoms (fractional coordinates):
Sc 0.000 0.000 0.000
Tc 0.249 0.249 0.249
Tc 0.510 0.510 0.510
Ag 0.756 0.756 0.756